RbVF3: optimized geometry, GGA+U.

Results
Energy = -5.1083 eV per atom
Total moment = 0.200 μB/atom
Mass density = 3.98 Mg/m³

Cell: 14.0416 5.0786 5.0786 Å, 130.09 137.48 42.52°
Each line ends with the local moment (μB).
Element x y z (fractional)
V (0.9448, 0.9526, 0.0474)  0.94
V (0.0552, 0.0474, 0.9526)  0.94
Rb (0.6375, 0.9653, 0.0347)  0.00
Rb (0.3625, 0.0347, 0.9653)  0.00
F (0.8119, 0.3096, 0.6904)  0.01
F (0.1881, 0.6904, 0.3096)  0.01
F (0.9560, 0.3948, 0.6052)  0.00
F (0.0440, 0.6052, 0.3948)  0.00
F (0.2980, 0.8200, 0.1800)  0.00
F (0.7020, 0.1800, 0.8200)  0.00